Compound: MnAsIr2
Source: the Alexandria database
Functional: PBE
Structure: optimized geometry

The total magnetization is 3.5 μB/f.u. The value obtained for the energy relative to the elements is 0.1084 eV/atom. The calculation puts the electronic total energy at -7.7769 eV per atom.

The space group is P2/m (No. 10) and the conventional cell measures 2.826, 4.437 and 4.753 Å, with angles of 90.00, 91.13 and 90.00 degrees. The distinct sites, in fractional coordinates, are Mn at (0.000, 0.000, 0.000), As at (0.500, 0.000, 0.500) and Ir at (0.263, 0.500, 0.752).